Run a
# Nb2IrOs2

A geometry-optimized Nb2IrOs2 structure (GGA-PBE, Alexandria via LeMat-Bulk).

Cell lengths 8.9849, 3.9339, 6.3381 Å; angles 90.00, 134.80, 90.00 degrees
Space group C2/m (No. 12)
Inequivalent atoms, fractional coordinates:
Nb1 0.0900 0.0000 0.3800 [4 per cell]
Ir1 0.0000 0.5000 0.0000 [2 per cell]
Os1 0.1935 0.5000 0.8085 [4 per cell]

Values from the calculation:
total magnetization: 0.0 μB/cell
crystal system: monoclinic

---

Run b
# Nb2IrOs2

A geometry-optimized Nb2IrOs2 structure (GGA-PBE, Alexandria via LeMat-Bulk).

Cell lengths 7.3254, 7.3254, 3.0883 Å; angles 90.00, 90.00, 90.00 degrees
Space group P4/mbm (No. 127)
Inequivalent atoms, fractional coordinates:
Nb1 0.1680 0.3320 0.0000 [4 per cell]
Ir1 0.0000 0.0000 0.5000 [2 per cell]
Os1 0.1328 0.6328 0.5000 [4 per cell]

Values from the calculation:
total magnetization: 0.0 μB/cell
crystal system: tetragonal

---

Quick one: least stable of them? run b

---

Run a
# NbIrOs

A geometry-optimized NbIrOs structure (GGA-PBE, Alexandria via LeMat-Bulk).

Cell lengths 3.6998, 3.7966, 3.9135 Å; angles 90.00, 90.00, 90.00 degrees
Space group Pmmm (No. 47)
Inequivalent atoms, fractional coordinates:
Nb1 0.0000 0.0000 0.0000 [1 per cell]
Ir1 0.0000 0.5000 0.5000 [1 per cell]
Os1 0.5000 0.0000 0.5000 [1 per cell]

Values from the calculation:
total magnetization: 0.0 μB/cell
crystal system: orthorhombic

---

Run b
# NbIrOs

A geometry-optimized NbIrOs structure (GGA-PBE, Alexandria via LeMat-Bulk).

Cell lengths 2.7799, 4.4920, 7.5521 Å; angles 90.00, 97.65, 90.00 degrees
Space group P2_1/m (No. 11)
Inequivalent atoms, fractional coordinates:
Nb1 0.1634 0.2500 0.1123 [2 per cell]
Ir1 0.3538 0.2500 0.7664 [2 per cell]
Os1 0.2598 0.7500 0.5439 [2 per cell]

Values from the calculation:
total magnetization: 0.0 μB/cell
crystal system: monoclinic

---

Quick one: least stable of them? run a

---

Run a
# Nb3PIr

A geometry-optimized Nb3PIr structure (GGA-PBE, Alexandria via LeMat-Bulk).

Cell lengths 4.5393, 4.5393, 4.5393 Å; angles 90.00, 90.00, 90.00 degrees
Space group Pm-3m (No. 221)
Inequivalent atoms, fractional coordinates:
Nb1 0.0000 0.0000 0.5000 [3 per cell]
P1 0.0000 0.0000 0.0000 [1 per cell]
Ir1 0.5000 0.5000 0.5000 [1 per cell]

Values from the calculation:
total magnetization: 0.0 μB/cell
crystal system: cubic

---

Run b
# Nb3PIr

A geometry-optimized Nb3PIr structure (GGA-PBE, Alexandria via LeMat-Bulk).

Cell lengths 4.8574, 4.8574, 4.8574 Å; angles 90.00, 90.00, 90.00 degrees
Space group Pm-3m (No. 221)
Inequivalent atoms, fractional coordinates:
Nb1 0.0000 0.0000 0.5000 [3 per cell]
P1 0.5000 0.5000 0.5000 [1 per cell]
Ir1 0.0000 0.0000 0.0000 [1 per cell]

Values from the calculation:
total magnetization: 0.0 μB/cell
crystal system: cubic

---

Quick one: least stable of them? run b

---

Run a
# NbPIr3

A geometry-optimized NbPIr3 structure (GGA-PBE, Alexandria via LeMat-Bulk).

Cell lengths 4.7704, 4.7704, 4.7704 Å; angles 90.00, 90.00, 90.00 degrees
Space group Pm-3m (No. 221)
Inequivalent atoms, fractional coordinates:
Nb1 0.0000 0.0000 0.0000 [1 per cell]
P1 0.5000 0.5000 0.5000 [1 per cell]
Ir1 0.0000 0.0000 0.5000 [3 per cell]

Values from the calculation:
total magnetization: 0.0 μB/cell
crystal system: cubic

---

Run b
# NbPIr3

A geometry-optimized NbPIr3 structure (GGA-PBE, Alexandria via LeMat-Bulk).

Cell lengths 4.4119, 4.4119, 4.4119 Å; angles 90.00, 90.00, 90.00 degrees
Space group Pm-3m (No. 221)
Inequivalent atoms, fractional coordinates:
Nb1 0.0000 0.0000 0.0000 [1 per cell]
P1 0.5000 0.5000 0.5000 [1 per cell]
Ir1 0.0000 0.5000 0.5000 [3 per cell]

Values from the calculation:
total magnetization: 2.9 μB/cell
crystal system: cubic

---

Quick one: least stable of them? run a

---

Run a
# NbPIrS2

A geometry-optimized NbPIrS2 structure (GGA-PBE, Alexandria via LeMat-Bulk).

Cell lengths 4.6670, 4.6670, 4.9372 Å; angles 90.00, 90.00, 90.00 degrees
Space group P4/mmm (No. 123)
Inequivalent atoms, fractional coordinates:
Nb1 0.0000 0.0000 0.0000 [1 per cell]
P1 0.0000 0.0000 0.5000 [1 per cell]
Ir1 0.5000 0.5000 0.5000 [1 per cell]
S1 0.0000 0.5000 0.0000 [2 per cell]

Values from the calculation:
total magnetization: 2.3 μB/cell
crystal system: tetragonal

---

Run b
# NbPIrS2

A geometry-optimized NbPIrS2 structure (GGA-PBE, Alexandria via LeMat-Bulk).

Cell lengths 4.6138, 4.6138, 4.5052 Å; angles 90.00, 90.00, 90.00 degrees
Space group P4/mmm (No. 123)
Inequivalent atoms, fractional coordinates:
Nb1 0.0000 0.0000 0.0000 [1 per cell]
P1 0.5000 0.5000 0.0000 [1 per cell]
Ir1 0.5000 0.5000 0.5000 [1 per cell]
S1 0.0000 0.5000 0.5000 [2 per cell]

Values from the calculation:
total magnetization: 0.0 μB/cell
crystal system: tetragonal

---

Quick one: least stable of them? run a

---

Run a
# PaNbIr

A geometry-optimized PaNbIr structure (GGA-PBE, Alexandria via LeMat-Bulk).

Cell lengths 4.6740, 4.6740, 2.9695 Å; angles 90.00, 90.00, 120.00 degrees
Space group P3m1 (No. 156)
Inequivalent atoms, fractional coordinates:
Pa1 0.0000 0.0000 0.0000 [1 per cell]
Nb1 0.3333 0.6667 0.7748 [1 per cell]
Ir1 0.6667 0.3333 0.3084 [1 per cell]

Values from the calculation:
total magnetization: 0.0 μB/cell
crystal system: trigonal

---

Run b
# PaNbIr

A geometry-optimized PaNbIr structure (GGA-PBE, Alexandria via LeMat-Bulk).

Cell lengths 3.0714, 3.0714, 12.4451 Å; angles 90.00, 90.00, 90.00 degrees
Space group I4mm (No. 107)
Inequivalent atoms, fractional coordinates:
Pa1 0.0000 0.0000 0.0000 [2 per cell]
Nb1 0.0000 0.0000 0.6910 [2 per cell]
Ir1 0.0000 0.0000 0.3217 [2 per cell]

Values from the calculation:
total magnetization: 0.0 μB/cell
crystal system: tetragonal

---

Run c
# PaNbIr

A geometry-optimized PaNbIr structure (GGA-PBE, Alexandria via LeMat-Bulk).

Cell lengths 7.1510, 7.1510, 5.2286 Å; angles 90.00, 90.00, 90.00 degrees
Space group P4_2/mmc (No. 131)
Inequivalent atoms, fractional coordinates:
Pa1 0.0000 0.2710 0.0000 [4 per cell]
Nb1 0.3274 0.5000 0.5000 [4 per cell]
Ir1 0.0000 0.3010 0.5000 [4 per cell]

Values from the calculation:
total magnetization: 0.0 μB/cell
crystal system: tetragonal

---

Quick one: least stable of them? run a

---

Run a
# NbIrPb2

A geometry-optimized NbIrPb2 structure (GGA-PBE, Alexandria via LeMat-Bulk).

Cell lengths 6.9049, 6.9049, 6.9049 Å; angles 90.00, 90.00, 90.00 degrees
Space group Fm-3m (No. 225)
Inequivalent atoms, fractional coordinates:
Nb1 0.0000 0.0000 0.0000 [4 per cell]
Ir1 0.0000 0.0000 0.5000 [4 per cell]
Pb1 0.2500 0.2500 0.2500 [8 per cell]

Values from the calculation:
total magnetization: 6.8 μB/cell
crystal system: cubic

---

Run b
# NbIrPb2

A geometry-optimized NbIrPb2 structure (GGA-PBE, Alexandria via LeMat-Bulk).

Cell lengths 7.8980, 7.8980, 5.8324 Å; angles 90.00, 90.00, 90.00 degrees
Space group I-42d (No. 122)
Inequivalent atoms, fractional coordinates:
Nb1 0.0000 0.0000 0.0000 [4 per cell]
Ir1 0.0000 0.0000 0.5000 [4 per cell]
Pb1 0.2195 0.7500 0.6250 [8 per cell]

Values from the calculation:
total magnetization: 2.9 μB/cell
crystal system: tetragonal

---

Quick one: least stable of them? run b

---

Run a
# NbIr3Pb

A geometry-optimized NbIr3Pb structure (GGA-PBE, Alexandria via LeMat-Bulk).

Cell lengths 4.8519, 4.8519, 4.8519 Å; angles 90.00, 90.00, 90.00 degrees
Space group Pm-3m (No. 221)
Inequivalent atoms, fractional coordinates:
Nb1 0.0000 0.0000 0.0000 [1 per cell]
Ir1 0.0000 0.0000 0.5000 [3 per cell]
Pb1 0.5000 0.5000 0.5000 [1 per cell]

Values from the calculation:
total magnetization: 0.0 μB/cell
crystal system: cubic

---

Run b
# NbIr3Pb

A geometry-optimized NbIr3Pb structure (GGA-PBE, Alexandria via LeMat-Bulk).

Cell lengths 4.8744, 4.8744, 4.8744 Å; angles 90.00, 90.00, 90.00 degrees
Space group Pm-3m (No. 221)
Inequivalent atoms, fractional coordinates:
Nb1 0.0000 0.0000 0.0000 [1 per cell]
Ir1 0.0000 0.5000 0.5000 [3 per cell]
Pb1 0.5000 0.5000 0.5000 [1 per cell]

Values from the calculation:
total magnetization: 0.0 μB/cell
crystal system: cubic

---

Quick one: least stable of them? run b

---

Run a
# Nb2Ir2Pd

A geometry-optimized Nb2Ir2Pd structure (GGA-PBE, Alexandria via LeMat-Bulk).

Cell lengths 7.5264, 7.5264, 2.9854 Å; angles 90.00, 90.00, 90.00 degrees
Space group P4/mbm (No. 127)
Inequivalent atoms, fractional coordinates:
Nb1 0.1668 0.3332 0.0000 [4 per cell]
Ir1 0.1330 0.6330 0.5000 [4 per cell]
Pd1 0.0000 0.0000 0.5000 [2 per cell]

Values from the calculation:
total magnetization: 0.0 μB/cell
crystal system: tetragonal

---

Run b
# Nb2Ir2Pd

A geometry-optimized Nb2Ir2Pd structure (GGA-PBE, Alexandria via LeMat-Bulk).

Cell lengths 4.3875, 5.5108, 7.0157 Å; angles 90.00, 90.00, 90.00 degrees
Space group Immm (No. 71)
Inequivalent atoms, fractional coordinates:
Nb1 0.0000 0.0000 0.1940 [4 per cell]
Ir1 0.0000 0.2744 0.5000 [4 per cell]
Pd1 0.0000 0.5000 0.0000 [2 per cell]

Values from the calculation:
total magnetization: 0.0 μB/cell
crystal system: orthorhombic

---

Quick one: least stable of them? run b

---

Run a
# NbIr2Pd

A geometry-optimized NbIr2Pd structure (GGA-PBE, Alexandria via LeMat-Bulk).

Cell lengths 7.1739, 7.1739, 5.4077 Å; angles 90.00, 90.00, 90.00 degrees
Space group I-42d (No. 122)
Inequivalent atoms, fractional coordinates:
Nb1 0.0000 0.0000 0.0000 [4 per cell]
Ir1 0.2252 0.2500 0.1250 [8 per cell]
Pd1 0.0000 0.0000 0.5000 [4 per cell]

Values from the calculation:
total magnetization: 0.0 μB/cell
crystal system: tetragonal

---

Run b
# NbIr2Pd

A geometry-optimized NbIr2Pd structure (GGA-PBE, Alexandria via LeMat-Bulk).

Cell lengths 6.3116, 6.3116, 6.3116 Å; angles 90.00, 90.00, 90.00 degrees
Space group Fm-3m (No. 225)
Inequivalent atoms, fractional coordinates:
Nb1 0.0000 0.0000 0.0000 [4 per cell]
Ir1 0.2500 0.2500 0.2500 [8 per cell]
Pd1 0.0000 0.0000 0.5000 [4 per cell]

Values from the calculation:
total magnetization: 0.0 μB/cell
crystal system: cubic

---

Run c
# NbIr2Pd

A geometry-optimized NbIr2Pd structure (GGA-PBE, Alexandria via LeMat-Bulk).

Cell lengths 3.9874, 3.9874, 3.8569 Å; angles 90.00, 90.00, 90.00 degrees
Space group P4/mmm (No. 123)
Inequivalent atoms, fractional coordinates:
Nb1 0.0000 0.0000 0.0000 [1 per cell]
Ir1 0.0000 0.5000 0.5000 [2 per cell]
Pd1 0.5000 0.5000 0.0000 [1 per cell]

Values from the calculation:
total magnetization: 0.0 μB/cell
crystal system: tetragonal

---

Quick one: least stable of them? run a